# GGA-PBE RbBaZnO2, optimized geometry
# * uncorrected energy: -42.8 eV/cell
# * SG: P2/c (13)
data_RbBaZnO2
_chemical_formula_sum 'Rb2 Ba2 Zn2 O4'
_cell_length_a 6.3985
_cell_length_b 8.1638
_cell_length_c 8.0400
_cell_angle_alpha 119.38
_cell_angle_beta 90.00
_cell_angle_gamma 90.00
_symmetry_space_group_name_H-M 'P 1'
_symmetry_Int_Tables_number 1
_symmetry_space_group_name_Hall 'P 1'
loop_
_atom_site_label
_atom_site_type_symbol
_atom_site_fract_x
_atom_site_fract_y
_atom_site_fract_z
Zn1 Zn 0.0000 0.0000 0.5000
O1 O 0.2560 0.8970 0.4487
Rb1 Rb 0.1962 0.5000 0.2500
O2 O 0.7440 0.8970 0.9487
Ba1 Ba 0.4999 0.0000 0.7500
Rb2 Rb 0.8038 0.5000 0.7500
Ba2 Ba 0.5001 0.0000 0.2500
O3 O 0.7440 0.1030 0.5513
Zn2 Zn 0.0000 0.0000 0.0000
O4 O 0.2560 0.1030 0.0513

=====

# GGA-PBE Rb2BaZrO4, optimized geometry
# * uncorrected energy: -101.1 eV/cell
# * SG: Imma (74)
data_Rb2BaZrO4
_chemical_formula_sum 'Rb4 Ba2 Zr2 O8'
_cell_length_a 7.5892
_cell_length_b 7.5892
_cell_length_c 7.8341
_cell_angle_alpha 121.07
_cell_angle_beta 121.07
_cell_angle_gamma 92.08
_symmetry_space_group_name_H-M 'P 1'
_symmetry_Int_Tables_number 1
_symmetry_space_group_name_Hall 'P 1'
loop_
_atom_site_label
_atom_site_type_symbol
_atom_site_fract_x
_atom_site_fract_y
_atom_site_fract_z
O1 O 0.2465 0.2535 0.4338
Rb1 Rb 0.5000 0.5000 0.0000
O2 O 0.7535 0.7466 0.5662
Zr1 Zr 0.0000 0.0000 0.0000
O3 O 0.2950 0.6801 0.4876
Rb2 Rb 0.5000 0.0000 0.5000
O4 O 0.1801 0.7950 0.9876
O5 O 0.7534 0.7465 0.9338
O6 O 0.8199 0.2050 0.0125
O7 O 0.7050 0.3199 0.5124
Rb3 Rb 0.5000 0.0000 0.0000
O8 O 0.2465 0.2535 0.0662
Zr2 Zr 0.5000 0.5000 0.5000
Ba1 Ba 0.0000 0.5000 0.5000
Rb4 Rb 0.0000 0.0000 0.5000
Ba2 Ba 0.0000 0.5000 0.0000

=====

# GGA-PBE Ba5Re2O12, optimized geometry
# * uncorrected energy: -130.8 eV/cell
# * SG: C2/m (12)
data_Ba5Re2O12
_chemical_formula_sum 'Ba5 Re2 O12'
_cell_length_a 7.3789
_cell_length_b 7.3789
_cell_length_c 6.4031
_cell_angle_alpha 88.72
_cell_angle_beta 88.72
_cell_angle_gamma 60.75
_symmetry_space_group_name_H-M 'P 1'
_symmetry_Int_Tables_number 1
_symmetry_space_group_name_Hall 'P 1'
loop_
_atom_site_label
_atom_site_type_symbol
_atom_site_fract_x
_atom_site_fract_y
_atom_site_fract_z
O1 O 0.9404 0.9404 0.1192
Ba1 Ba 0.0000 0.0000 0.5000
Ba2 Ba 0.7569 0.7569 0.9822
O2 O 0.8981 0.3151 0.2161
O3 O 0.5962 0.1789 0.2108
Ba3 Ba 0.3520 0.3520 0.5220
O4 O 0.0596 0.0596 0.8808
O5 O 0.4038 0.8211 0.7892
O6 O 0.1019 0.6849 0.7839
Re1 Re 0.2508 0.7492 0.0000
O7 O 0.4462 0.4462 0.8720
O8 O 0.1789 0.5962 0.2108
Ba4 Ba 0.2431 0.2431 0.0178
Ba5 Ba 0.6480 0.6480 0.4780
O9 O 0.5538 0.5538 0.1280
Re2 Re 0.7492 0.2508 0.0000
O10 O 0.8211 0.4038 0.7892
O11 O 0.3151 0.8981 0.2161
O12 O 0.6849 0.1019 0.7839

=====

# GGA-PBE BaReO6, optimized geometry
# * uncorrected energy: -54.0 eV/cell
# * SG: Fm-3m (225)
data_BaReO6
_chemical_formula_sum 'Ba1 Re1 O6'
_cell_length_a 6.4927
_cell_length_b 6.4927
_cell_length_c 6.4927
_cell_angle_alpha 60.00
_cell_angle_beta 60.00
_cell_angle_gamma 60.00
_symmetry_space_group_name_H-M 'P 1'
_symmetry_Int_Tables_number 1
_symmetry_space_group_name_Hall 'P 1'
loop_
_atom_site_label
_atom_site_type_symbol
_atom_site_fract_x
_atom_site_fract_y
_atom_site_fract_z
O1 O 0.2039 0.2039 0.7961
O2 O 0.7961 0.7961 0.2039
O3 O 0.2039 0.7961 0.7961
Ba1 Ba 0.5000 0.5000 0.5000
O4 O 0.7961 0.2039 0.2039
O5 O 0.7961 0.2039 0.7961
Re1 Re 0.0000 0.0000 0.0000
O6 O 0.2039 0.7961 0.2039

=====

# GGA-PBE BaReO5, optimized geometry
# * uncorrected energy: -50.6 eV/cell
# * SG: Immm (71)
# * energy above the lowest structure with this stoichiometry: 114 meV/atom
data_BaReO5
_chemical_formula_sum 'Ba1 Re1 O5'
_cell_length_a 3.9535
_cell_length_b 5.7293
_cell_length_c 5.7293
_cell_angle_alpha 63.95
_cell_angle_beta 69.82
_cell_angle_gamma 69.82
_symmetry_space_group_name_H-M 'P 1'
_symmetry_Int_Tables_number 1
_symmetry_space_group_name_Hall 'P 1'
loop_
_atom_site_label
_atom_site_type_symbol
_atom_site_fract_x
_atom_site_fract_y
_atom_site_fract_z
O1 O 0.1419 0.0833 0.6329
O2 O 0.1419 0.6329 0.0833
O3 O 0.8581 0.3671 0.9167
Ba1 Ba 0.5000 0.5000 0.5000
Re1 Re 0.0000 0.0000 0.0000
O4 O 0.8581 0.9167 0.3671
O5 O 0.5000 0.0000 0.0000

=====

# GGA-PBE Ba3ReO6, optimized geometry
# * uncorrected energy: -142.2 eV/cell
# * SG: R-3 (148)
# * energy above the lowest structure with this stoichiometry: 21 meV/atom
data_Ba3ReO6
_chemical_formula_sum 'Ba6 Re2 O12'
_cell_length_a 7.2515
_cell_length_b 7.2515
_cell_length_c 7.2515
_cell_angle_alpha 91.98
_cell_angle_beta 91.98
_cell_angle_gamma 91.98
_symmetry_space_group_name_H-M 'P 1'
_symmetry_Int_Tables_number 1
_symmetry_space_group_name_Hall 'P 1'
loop_
_atom_site_label
_atom_site_type_symbol
_atom_site_fract_x
_atom_site_fract_y
_atom_site_fract_z
O1 O 0.2565 0.9464 0.0661
Ba1 Ba 0.9355 0.7452 0.4383
O2 O 0.5462 0.4311 0.2417
O3 O 0.7583 0.4538 0.5689
Ba2 Ba 0.0645 0.2548 0.5617
O4 O 0.7435 0.0536 0.9339
O5 O 0.4538 0.5689 0.7583
Ba3 Ba 0.7452 0.4383 0.9355
O6 O 0.0536 0.9339 0.7435
Re1 Re 0.0000 0.0000 0.0000
O7 O 0.9464 0.0661 0.2565
O8 O 0.4311 0.2417 0.5462
O9 O 0.9339 0.7435 0.0536
Ba4 Ba 0.4383 0.9355 0.7452
Ba5 Ba 0.2548 0.5617 0.0645
O10 O 0.0661 0.2565 0.9464
Re2 Re 0.5000 0.5000 0.5000
O11 O 0.5689 0.7583 0.4538
O12 O 0.2417 0.5462 0.4311
Ba6 Ba 0.5617 0.0645 0.2548

=====

# GGA-PBE BaReO2, optimized geometry
# * uncorrected energy: -29.4 eV/cell
# * SG: R-3m (166)
# * energy above the lowest structure with this stoichiometry: 0 meV/atom
data_BaReO2
_chemical_formula_sum 'Ba1 Re1 O2'
_cell_length_a 6.2336
_cell_length_b 6.2336
_cell_length_c 6.2336
_cell_angle_alpha 41.48
_cell_angle_beta 41.48
_cell_angle_gamma 41.48
_symmetry_space_group_name_H-M 'P 1'
_symmetry_Int_Tables_number 1
_symmetry_space_group_name_Hall 'P 1'
loop_
_atom_site_label
_atom_site_type_symbol
_atom_site_fract_x
_atom_site_fract_y
_atom_site_fract_z
Ba1 Ba 0.5000 0.5000 0.5000
O1 O 0.8942 0.8942 0.8942
O2 O 0.1058 0.1058 0.1058
Re1 Re 0.0000 0.0000 0.0000

=====

# GGA-PBE Ba2ReO5, optimized geometry
# * uncorrected energy: -58.9 eV/cell
# * SG: Fmm2 (42)
# * energy above the lowest structure with this stoichiometry: 76 meV/atom
data_Ba2ReO5
_chemical_formula_sum 'Ba2 Re1 O5'
_cell_length_a 6.2838
_cell_length_b 6.2838
_cell_length_c 5.8965
_cell_angle_alpha 122.10
_cell_angle_beta 122.06
_cell_angle_gamma 90.18
_symmetry_space_group_name_H-M 'P 1'
_symmetry_Int_Tables_number 1
_symmetry_space_group_name_Hall 'P 1'
loop_
_atom_site_label
_atom_site_type_symbol
_atom_site_fract_x
_atom_site_fract_y
_atom_site_fract_z
O1 O 0.2402 0.2400 0.0674
O2 O 0.2376 0.8240 0.0616
Re1 Re 0.9614 0.9614 0.9228
O3 O 0.8249 0.2383 0.0632
O4 O 0.7348 0.7354 0.4701
Ba1 Ba 0.2255 0.7254 0.4508
Ba2 Ba 0.7253 0.2253 0.4508
O5 O 0.8273 0.8272 0.0674

=====

# GGA-PBE Ba10Re3O22, optimized geometry
# * uncorrected energy: -243.4 eV/cell
# * SG: C2/m (12)
data_Ba10Re3O22
_chemical_formula_sum 'Ba10 Re3 O22'
_cell_length_a 10.5939
_cell_length_b 10.5939
_cell_length_c 10.1657
_cell_angle_alpha 86.25
_cell_angle_beta 86.25
_cell_angle_gamma 31.96
_symmetry_space_group_name_H-M 'P 1'
_symmetry_Int_Tables_number 1
_symmetry_space_group_name_Hall 'P 1'
loop_
_atom_site_label
_atom_site_type_symbol
_atom_site_fract_x
_atom_site_fract_y
_atom_site_fract_z
O1 O 0.4525 0.9782 0.8511
Ba1 Ba 0.8253 0.8253 0.8927
O2 O 0.4234 0.4234 0.3627
Ba2 Ba 0.0700 0.0700 0.6561
Ba3 Ba 0.4074 0.4074 0.0850
O3 O 0.7999 0.7999 0.3747
O4 O 0.0465 0.0465 0.4116
Re1 Re 0.0000 0.0000 0.0000
O5 O 0.4642 0.9132 0.3438
Ba4 Ba 0.4334 0.4334 0.6660
Re2 Re 0.2608 0.2608 0.7623
O6 O 0.7924 0.2566 0.1197
O7 O 0.3299 0.3299 0.8785
O8 O 0.5358 0.0868 0.6562
O9 O 0.9782 0.4525 0.8511
Ba5 Ba 0.5666 0.5666 0.3340
O10 O 0.2566 0.7924 0.1197
O11 O 0.7434 0.2076 0.8803
O12 O 0.5766 0.5766 0.6373
O13 O 0.0868 0.5358 0.6562
Ba6 Ba 0.7101 0.7101 0.5885
O14 O 0.2001 0.2001 0.6253
Ba7 Ba 0.5926 0.5926 0.9150
O15 O 0.2076 0.7434 0.8803
Ba8 Ba 0.2899 0.2899 0.4115
O16 O 0.0218 0.5475 0.1489
O17 O 0.5475 0.0218 0.1489
O18 O 0.9535 0.9535 0.5884
O19 O 0.6701 0.6701 0.1215
O20 O 0.9129 0.9129 0.0811
Ba9 Ba 0.9300 0.9300 0.3439
O21 O 0.0871 0.0871 0.9189
Ba10 Ba 0.1747 0.1747 0.1073
O22 O 0.9132 0.4642 0.3438
Re3 Re 0.7392 0.7392 0.2377

=====

# GGA-PBE BaRe2O8, optimized geometry
# * uncorrected energy: -79.2 eV/cell
# * SG: P4/mmm (123)
# * energy above the lowest structure with this stoichiometry: 811 meV/atom
data_BaRe2O8
_chemical_formula_sum 'Ba1 Re2 O8'
_cell_length_a 4.7875
_cell_length_b 4.7875
_cell_length_c 6.5515
_cell_angle_alpha 90.00
_cell_angle_beta 90.00
_cell_angle_gamma 90.00
_symmetry_space_group_name_H-M 'P 1'
_symmetry_Int_Tables_number 1
_symmetry_space_group_name_Hall 'P 1'
loop_
_atom_site_label
_atom_site_type_symbol
_atom_site_fract_x
_atom_site_fract_y
_atom_site_fract_z
O1 O 0.2490 0.7510 0.1749
Ba1 Ba 0.5000 0.5000 0.5000
Re1 Re 0.0000 0.5000 0.0000
O2 O 0.7510 0.2490 0.8251
Re2 Re 0.5000 0.0000 0.0000
O3 O 0.7510 0.2490 0.1749
O4 O 0.2490 0.2490 0.8251
O5 O 0.7510 0.7510 0.1749
O6 O 0.2490 0.7510 0.8251
O7 O 0.7510 0.7510 0.8251
O8 O 0.2490 0.2490 0.1749

=====

# GGA-PBE Ba5Re3O16, optimized geometry
# * uncorrected energy: -359.3 eV/cell
# * SG: P6_3cm (185)
data_Ba5Re3O16
_chemical_formula_sum 'Ba10 Re6 O32'
_cell_length_a 11.0398
_cell_length_b 11.0398
_cell_length_c 8.0279
_cell_angle_alpha 90.00
_cell_angle_beta 90.00
_cell_angle_gamma 120.00
_symmetry_space_group_name_H-M 'P 1'
_symmetry_Int_Tables_number 1
_symmetry_space_group_name_Hall 'P 1'
loop_
_atom_site_label
_atom_site_type_symbol
_atom_site_fract_x
_atom_site_fract_y
_atom_site_fract_z
O1 O 0.5748 0.1317 0.2515
Ba1 Ba 0.7380 0.7380 0.7374
O2 O 0.8680 0.2546 0.4331
O3 O 0.4252 0.8683 0.7515
O4 O 0.1320 0.7454 0.9331
O5 O 0.4252 0.5569 0.2515
O6 O 0.5569 0.1317 0.7515
O7 O 0.2910 0.2910 0.6172
O8 O 0.5569 0.4252 0.2515
Ba2 Ba 0.0000 0.7380 0.2374
Ba3 Ba 0.3333 0.6667 0.4962
O9 O 0.8680 0.6134 0.9331
O10 O 0.2546 0.8680 0.4331
O11 O 0.0000 0.0000 0.7639
O12 O 0.7090 0.0000 0.6172
Ba4 Ba 0.6667 0.3333 0.9962
O13 O 0.1317 0.5748 0.2515
O14 O 0.3866 0.2546 0.9331
O15 O 0.3866 0.1320 0.4331
O16 O 0.6134 0.7454 0.4331
Ba5 Ba 0.7380 0.0000 0.2374
O17 O 0.7454 0.1320 0.9331
O18 O 0.2546 0.3866 0.9331
O19 O 0.0000 0.2910 0.1172
Re1 Re 0.3883 0.3883 0.7918
Re2 Re 0.6117 0.6117 0.2918
O20 O 0.2910 0.0000 0.1172
Ba6 Ba 0.3333 0.6667 0.9962
Re3 Re 0.0000 0.6117 0.7918
O21 O 0.4431 0.5748 0.7515
Re4 Re 0.3883 0.0000 0.2918
Re5 Re 0.0000 0.3883 0.2918
Ba7 Ba 0.2620 0.0000 0.7374
Ba8 Ba 0.0000 0.2620 0.7374
O22 O 0.8683 0.4252 0.7515
Ba9 Ba 0.6667 0.3333 0.4962
O23 O 0.5748 0.4431 0.7515
O24 O 0.8683 0.4431 0.2515
Ba10 Ba 0.2620 0.2620 0.2374
O25 O 0.0000 0.7090 0.6172
Re6 Re 0.6117 0.0000 0.7918
O26 O 0.1317 0.5569 0.7515
O27 O 0.0000 0.0000 0.2639
O28 O 0.7454 0.6134 0.4331
O29 O 0.4431 0.8683 0.2515
O30 O 0.7090 0.7090 0.1172
O31 O 0.6134 0.8680 0.9331
O32 O 0.1320 0.3866 0.4331

=====

# GGA-PBE BaRe3O, optimized geometry
# * uncorrected energy: -37.4 eV/cell
# * SG: Pm-3m (221)
# * energy above the lowest structure with this stoichiometry: 0 meV/atom
data_BaRe3O
_chemical_formula_sum 'Ba1 Re3 O1'
_cell_length_a 4.4084
_cell_length_b 4.4084
_cell_length_c 4.4084
_cell_angle_alpha 90.00
_cell_angle_beta 90.00
_cell_angle_gamma 90.00
_symmetry_space_group_name_H-M 'P 1'
_symmetry_Int_Tables_number 1
_symmetry_space_group_name_Hall 'P 1'
loop_
_atom_site_label
_atom_site_type_symbol
_atom_site_fract_x
_atom_site_fract_y
_atom_site_fract_z
Re1 Re 0.0000 0.0000 0.5000
Ba1 Ba 0.5000 0.5000 0.5000
O1 O 0.0000 0.0000 0.0000
Re2 Re 0.0000 0.5000 0.0000
Re3 Re 0.5000 0.0000 0.0000

=====

no.,raw formation energy (eV/f.u.),spin magnetization (μB/f.u.),V (A^3/atom)
1,-7.3,0.0,36.60
2,-18.3,0.0,18.84
3,-36.8,0.0,16.00
4,-9.9,3.0,24.19
5,-11.4,1.0,15.22
6,-23.1,1.0,19.03
7,-5.1,1.0,24.01
8,-17.8,1.0,19.17
9,-77.7,3.2,17.21
10,-12.7,1.4,13.65
11,-53.4,1.1,17.65
12,6.8,2.2,17.13